This record from Alexandria via LeMat-Bulk describes a relaxed InCoB2Pb crystal. The functional is PBE.

Structure (CIF):
```
data_InCoB2Pb
_chemical_formula_sum 'In1 Co1 B2 Pb1'
_symmetry_space_group_name_H-M 'P 4/m m m'
_symmetry_Int_Tables_number 123
_symmetry_space_group_name_Hall '-P 4 2'
_cell_length_a 4.619
_cell_length_b 4.619
_cell_length_c 5.022
_cell_angle_alpha 90.00
_cell_angle_beta 90.00
_cell_angle_gamma 90.00
loop_
_atom_site_label
_atom_site_type_symbol
_atom_site_fract_x
_atom_site_fract_y
_atom_site_fract_z
_atom_site_occupancy
In1 In 0.000 0.000 0.000 1
Co1 Co 0.500 0.500 0.000 1
B1 B 0.000 0.500 0.500 1
Pb1 Pb 0.500 0.500 0.500 1
```

Values from the calculation:
Crystal system: tetragonal
Total moment, μB/cell: 1.21
Density of states at the Fermi level, states/eV/f.u.: 6.23
Energy, eV/cell: -16.9
Calculated volume, Å³ per atom: 21.43



This record from Alexandria via LeMat-Bulk describes a relaxed InCo2BRh crystal. The functional is PBE.

Structure (CIF):
```
data_InCo2BRh
_chemical_formula_sum 'In1 Co2 B1 Rh1'
_symmetry_space_group_name_H-M 'P 4/m m m'
_symmetry_Int_Tables_number 123
_symmetry_space_group_name_Hall '-P 4 2'
_cell_length_a 3.927
_cell_length_b 3.927
_cell_length_c 4.095
_cell_angle_alpha 90.00
_cell_angle_beta 90.00
_cell_angle_gamma 90.00
loop_
_atom_site_label
_atom_site_type_symbol
_atom_site_fract_x
_atom_site_fract_y
_atom_site_fract_z
_atom_site_occupancy
In1 In 0.000 0.000 0.000 1
Co1 Co 0.000 0.500 0.500 1
B1 B 0.500 0.500 0.500 1
Rh1 Rh 0.500 0.500 0.000 1
```

Values from the calculation:
Crystal system: tetragonal
Total moment, μB/cell: 1.11
Density of states at the Fermi level, states/eV/f.u.: 3.46
Energy, eV/cell: -31.8
Calculated volume, Å³ per atom: 12.63



This record from Alexandria via LeMat-Bulk describes a relaxed InCo2BRu crystal. The functional is PBE.

Structure (CIF):
```
data_InCo2BRu
_chemical_formula_sum 'In1 Co2 B1 Ru1'
_symmetry_space_group_name_H-M 'P 4/m m m'
_symmetry_Int_Tables_number 123
_symmetry_space_group_name_Hall '-P 4 2'
_cell_length_a 3.939
_cell_length_b 3.939
_cell_length_c 4.094
_cell_angle_alpha 90.00
_cell_angle_beta 90.00
_cell_angle_gamma 90.00
loop_
_atom_site_label
_atom_site_type_symbol
_atom_site_fract_x
_atom_site_fract_y
_atom_site_fract_z
_atom_site_occupancy
In1 In 0.000 0.000 0.000 1
Co1 Co 0.000 0.500 0.500 1
B1 B 0.500 0.500 0.500 1
Ru1 Ru 0.500 0.500 0.000 1
```

Values from the calculation:
Crystal system: tetragonal
Total moment, μB/cell: 1.96
Density of states at the Fermi level, states/eV/f.u.: 6.64
Energy, eV/cell: -33.2
Calculated volume, Å³ per atom: 12.71



This record from Alexandria via LeMat-Bulk describes a relaxed Sc2InCoB crystal. The functional is PBE.

Structure (CIF):
```
data_Sc2InCoB
_chemical_formula_sum 'Sc2 In1 Co1 B1'
_symmetry_space_group_name_H-M 'P 4/m m m'
_symmetry_Int_Tables_number 123
_symmetry_space_group_name_Hall '-P 4 2'
_cell_length_a 4.676
_cell_length_b 4.676
_cell_length_c 3.819
_cell_angle_alpha 90.00
_cell_angle_beta 90.00
_cell_angle_gamma 90.00
loop_
_atom_site_label
_atom_site_type_symbol
_atom_site_fract_x
_atom_site_fract_y
_atom_site_fract_z
_atom_site_occupancy
Sc1 Sc 0.000 0.500 0.000 1
In1 In 0.000 0.000 0.500 1
Co1 Co 0.500 0.500 0.500 1
B1 B 0.500 0.500 0.000 1
```

Values from the calculation:
Crystal system: tetragonal
Total moment, μB/cell: 0.00
Density of states at the Fermi level, states/eV/f.u.: 2.82
Energy, eV/cell: -30.9
Calculated volume, Å³ per atom: 16.70



This record from Alexandria via LeMat-Bulk describes a relaxed Y2InCoB crystal. The functional is PBE.

Structure (CIF):
```
data_Y2InCoB
_chemical_formula_sum 'Y2 In1 Co1 B1'
_symmetry_space_group_name_H-M 'P 4/m m m'
_symmetry_Int_Tables_number 123
_symmetry_space_group_name_Hall '-P 4 2'
_cell_length_a 5.146
_cell_length_b 5.146
_cell_length_c 3.830
_cell_angle_alpha 90.00
_cell_angle_beta 90.00
_cell_angle_gamma 90.00
loop_
_atom_site_label
_atom_site_type_symbol
_atom_site_fract_x
_atom_site_fract_y
_atom_site_fract_z
_atom_site_occupancy
Y1 Y 0.000 0.500 0.000 1
In1 In 0.000 0.000 0.500 1
Co1 Co 0.500 0.500 0.500 1
B1 B 0.500 0.500 0.000 1
```

Values from the calculation:
Crystal system: tetragonal
Total moment, μB/cell: 0.00
Density of states at the Fermi level, states/eV/f.u.: 2.96
Energy, eV/cell: -30.9
Calculated volume, Å³ per atom: 20.28



This record from Alexandria via LeMat-Bulk describes a relaxed CoBIr2 crystal. The functional is PBE.

Structure (CIF):
```
data_CoBIr2
_chemical_formula_sum 'Co1 B1 Ir2'
_symmetry_space_group_name_H-M 'P 4/m m m'
_symmetry_Int_Tables_number 123
_symmetry_space_group_name_Hall '-P 4 2'
_cell_length_a 2.722
_cell_length_b 2.722
_cell_length_c 6.285
_cell_angle_alpha 90.00
_cell_angle_beta 90.00
_cell_angle_gamma 90.00
loop_
_atom_site_label
_atom_site_type_symbol
_atom_site_fract_x
_atom_site_fract_y
_atom_site_fract_z
_atom_site_occupancy
Co1 Co 0.000 0.000 0.000 1
B1 B 0.000 0.000 0.500 1
Ir1 Ir 0.500 0.500 0.289 1
```

Values from the calculation:
Crystal system: tetragonal
Total moment, μB/cell: 2.09
Density of states at the Fermi level, states/eV/f.u.: 3.94
Energy, eV/cell: -31.4
Calculated volume, Å³ per atom: 11.64